# CsAlFeCo2 PBE optimized geometry
# Crystal system: tetragonal
# Raw total energy in eV per atom: -4.219
# Total magnetic moment in μB/f.u.: 6.1
# Formation enthalpy at 0 K in eV/atom: 1.24
data_CsAlFeCo2
_chemical_formula_sum 'Cs1 Al1 Fe1 Co2'
_cell_length_a 4.737
_cell_length_b 4.737
_cell_length_c 4.893
_cell_angle_alpha 90.00
_cell_angle_beta 90.00
_cell_angle_gamma 90.00
_space_group_name_H-M_alt 'P 4/m m m'
_space_group_IT_number 123
_space_group_name_Hall '-P 4 2'
loop_
_atom_site_label
_atom_site_fract_x
_atom_site_fract_y
_atom_site_fract_z
_atom_site_occupancy
Cs1 0.000 0.000 0.000 1
Al1 0.500 0.500 0.500 1
Fe1 0.500 0.500 0.000 1
Co1 0.000 0.500 0.500 1